Record 1
{
  "formula": "Ho5BiAu2",
  "functional": "meta-GGA SCAN",
  "state": "PBEsol geometry",
  "lattice": [[7.9709, 0.0000, 0.0000], [-3.9855, 7.5683, -0.0321], [0.0000, 4.2261, 6.7584]],
  "species": ["Ho", "Ho", "Ho", "Ho", "Ho", "Ho", "Ho", "Ho", "Ho", "Ho", "Bi", "Bi", "Au", "Au", "Au", "Au"],
  "frac_coords": [[0.0000, 0.0000, 0.0000], [0.5000, 0.0000, 0.5000], [0.0138, 0.7186, 0.7953], [0.7047, 0.7186, 0.4862], [0.5138, 0.7186, 0.9862], [0.2047, 0.7186, 0.2953], [0.9862, 0.2814, 0.2047], [0.2953, 0.2814, 0.5138], [0.4862, 0.2814, 0.0138], [0.7953, 0.2814, 0.7047], [0.7500, 0.5000, 0.2500], [0.2500, 0.5000, 0.7500], [0.6372, 0.0000, 0.1372], [0.3628, 0.0000, 0.8628], [0.1372, 0.0000, 0.3628], [0.8628, 0.0000, 0.6372]],
  "magmom_total_mub_per_fu": 0.0,
  "volume_a3_per_atom": 25.5,
  "ef_ev_per_atom": -0.905,
  "final_energy_ev_per_atom": -58.63
}

Record 2
{
  "formula": "P4S5",
  "functional": "meta-GGA SCAN",
  "state": "PBEsol geometry",
  "lattice": [[6.2982, 0.1596, 0.0000], [-2.4978, 6.1875, 0.0000], [0.0000, 0.0000, 10.6289]],
  "species": ["P", "P", "P", "P", "P", "P", "P", "P", "S", "S", "S", "S", "S", "S", "S", "S", "S", "S"],
  "frac_coords": [[0.3383, 0.6051, 0.9969], [0.6617, 0.3949, 0.4969], [0.5682, 0.5182, 0.1332], [0.4318, 0.4818, 0.6332], [0.2616, 0.4326, 0.2585], [0.7384, 0.5674, 0.7585], [0.5201, 0.9571, 0.2420], [0.4799, 0.0429, 0.7420], [0.3702, 0.9165, 0.0606], [0.6298, 0.0835, 0.5606], [0.7660, 0.8066, 0.2132], [0.2340, 0.1934, 0.7132], [0.2790, 0.7156, 0.3510], [0.7210, 0.2844, 0.8510], [0.0543, 0.3766, 0.0998], [0.9457, 0.6234, 0.5998], [0.1664, 0.2033, 0.3839], [0.8336, 0.7967, 0.8839]],
  "relative_energy_mev_per_atom": 0,
  "magmom_total_mub_per_fu": 0.0,
  "volume_a3_per_atom": 23.2,
  "final_energy_ev_per_atom": -10.17,
  "e_form_raw_ev_per_atom": -0.198
}

Record 3
{
  "formula": "Rb3TaRe",
  "functional": "meta-GGA SCAN",
  "state": "PBEsol geometry",
  "lattice": [[6.3414, 0.0000, 0.0000], [0.0000, 6.3414, 0.0000], [0.0000, 0.0000, 6.3414]],
  "species": ["Re", "Rb", "Rb", "Rb", "Ta"],
  "frac_coords": [[0.0000, 0.0000, 0.0000], [0.0000, 0.5000, 0.0000], [0.0000, 0.0000, 0.5000], [0.5000, 0.0000, 0.0000], [0.5000, 0.5000, 0.5000]],
  "magmom_total_mub_per_fu": 7.8,
  "volume_a3_per_atom": 51.0,
  "ef_ev_per_atom": 2.687,
  "final_energy_ev_per_atom": -37.29
}

Record 4
{
  "formula": "BeNb2O",
  "functional": "meta-GGA SCAN",
  "state": "PBEsol geometry",
  "lattice": [[-3.7999, 2.2896, 1.6433], [-2.0607, -0.3753, -4.2420], [0.6897, -5.7620, 2.8128]],
  "species": ["Be", "Be", "Nb", "Nb", "Nb", "Nb", "O", "O"],
  "frac_coords": [[0.7500, 0.2500, 0.5000], [0.5000, 0.5000, 0.0000], [0.3116, 0.8750, 0.2500], [0.9384, 0.3750, 0.2500], [0.1250, 0.0616, 0.7500], [0.6250, 0.6884, 0.7500], [0.2500, 0.7500, 0.5000], [0.0000, 0.0000, 0.0000]],
  "magmom_total_mub_per_fu": 0.0,
  "volume_a3_per_atom": 15.4,
  "final_energy_ev_per_atom": -19.46,
  "e_form_raw_ev_per_atom": -0.249
}

Record 5
{
  "formula": "TbB2C",
  "functional": "meta-GGA SCAN",
  "state": "PBEsol geometry",
  "lattice": [[-0.4561, -6.6717, 1.0717], [1.9870, 0.8942, 6.4125], [-7.0729, 0.8173, 2.0777]],
  "species": ["Tb", "Tb", "Tb", "Tb", "Tb", "Tb", "Tb", "Tb", "B", "B", "B", "B", "B", "B", "B", "B", "B", "B", "B", "B", "B", "B", "B", "B", "C", "C", "C", "C", "C", "C", "C", "C"],
  "frac_coords": [[0.3098, 0.8098, 0.7500], [0.1902, 0.3098, 0.2500], [0.8098, 0.6902, 0.2500], [0.6902, 0.1902, 0.7500], [0.6902, 0.1902, 0.2500], [0.8098, 0.6902, 0.7500], [0.1902, 0.3098, 0.7500], [0.3098, 0.8098, 0.2500], [0.1508, 0.0342, 0.0000], [0.5342, 0.6508, 0.5000], [0.8492, 0.9658, 0.0000], [0.3492, 0.5342, 0.0000], [0.6508, 0.4658, 0.0000], [0.0342, 0.8492, 0.5000], [0.9658, 0.1508, 0.5000], [0.4658, 0.3492, 0.5000], [0.0968, 0.5946, 0.0000], [0.4054, 0.0968, 0.5000], [0.5946, 0.9032, 0.5000], [0.5968, 0.9054, 0.0000], [0.4032, 0.0946, 0.0000], [0.9032, 0.4054, 0.0000], [0.0946, 0.5968, 0.5000], [0.9054, 0.4032, 0.5000], [0.1779, 0.0409, 0.5000], [0.6779, 0.4591, 0.5000], [0.3221, 0.5409, 0.5000], [0.9591, 0.1779, 0.0000], [0.0409, 0.8221, 0.0000], [0.5409, 0.6779, 0.0000], [0.8221, 0.9591, 0.5000], [0.4591, 0.3221, 0.0000]],
  "magmom_total_mub_per_fu": 0.0,
  "volume_a3_per_atom": 10.6,
  "ef_ev_per_atom": -0.617,
  "final_energy_ev_per_atom": -18.55
}

Record 6
{
  "formula": "Zr6Be15Co8",
  "functional": "meta-GGA SCAN",
  "state": "PBEsol geometry",
  "lattice": [[-4.7129, 5.8333, -2.0749], [-6.8433, 0.9351, 3.5831], [-1.0844, 6.0228, 4.8057]],
  "species": ["Zr", "Zr", "Zr", "Zr", "Zr", "Zr", "Be", "Be", "Be", "Be", "Be", "Be", "Be", "Be", "Be", "Be", "Be", "Be", "Be", "Be", "Be", "Co", "Co", "Co", "Co", "Co", "Co", "Co", "Co"],
  "frac_coords": [[0.7120, 0.2880, 0.2880], [0.2880, 0.7120, 0.7120], [0.7120, 0.2880, 0.7120], [0.2880, 0.7120, 0.2880], [0.7120, 0.7120, 0.2880], [0.2880, 0.2880, 0.7120], [0.0362, 0.3213, 0.3213], [0.9638, 0.6787, 0.6787], [0.3213, 0.0362, 0.3213], [0.3213, 0.3213, 0.0362], [0.6787, 0.9638, 0.6787], [0.6787, 0.6787, 0.9638], [0.3213, 0.3213, 0.3213], [0.6787, 0.6787, 0.6787], [0.5000, 0.0000, 0.0000], [0.0000, 0.5000, 0.5000], [0.5000, 0.0000, 0.5000], [0.0000, 0.5000, 0.0000], [0.5000, 0.5000, 0.0000], [0.0000, 0.0000, 0.5000], [0.0000, 0.0000, 0.0000], [0.6253, 0.1249, 0.1249], [0.3747, 0.8751, 0.8751], [0.1249, 0.6253, 0.1249], [0.1249, 0.1249, 0.6253], [0.8751, 0.3747, 0.8751], [0.8751, 0.8751, 0.3747], [0.1249, 0.1249, 0.1249], [0.8751, 0.8751, 0.8751]],
  "magmom_total_mub_per_fu": 7.3,
  "volume_a3_per_atom": 11.5,
  "ef_ev_per_atom": -0.287,
  "final_energy_ev_per_atom": -13.66
}

Record 7
{
  "formula": "Y3AlFeS7",
  "functional": "meta-GGA SCAN",
  "state": "PBEsol geometry",
  "lattice": [[6.1228, 0.0000, 0.0000], [0.0000, 9.3085, 0.0000], [0.0000, -4.6543, 8.0614]],
  "species": ["Y", "Y", "Y", "Y", "Y", "Y", "Al", "Al", "Fe", "Fe", "S", "S", "S", "S", "S", "S", "S", "S", "S", "S", "S", "S", "S", "S"],
  "frac_coords": [[0.2218, 0.6252, 0.7899], [0.2218, 0.1646, 0.3748], [0.2218, 0.2101, 0.8354], [0.7218, 0.3748, 0.2101], [0.7218, 0.8354, 0.6252], [0.7218, 0.7899, 0.1646], [0.6494, 0.3333, 0.6667], [0.1494, 0.6667, 0.3333], [0.0701, 0.0000, 0.0000], [0.5701, 0.0000, 0.0000], [0.8235, 0.7832, 0.8805], [0.8235, 0.0974, 0.2168], [0.8235, 0.1195, 0.9026], [0.3235, 0.2168, 0.1195], [0.3235, 0.9026, 0.7832], [0.3235, 0.8805, 0.0974], [0.4993, 0.4757, 0.9180], [0.4993, 0.4424, 0.5243], [0.4993, 0.0820, 0.5576], [0.9993, 0.5243, 0.0820], [0.9993, 0.5576, 0.4757], [0.9993, 0.9180, 0.4424], [0.0117, 0.3333, 0.6667], [0.5117, 0.6667, 0.3333]],
  "magmom_total_mub_per_fu": 0.0,
  "volume_a3_per_atom": 19.1,
  "final_energy_ev_per_atom": -16.57,
  "e_form_raw_ev_per_atom": -1.833
}

Record 8
{
  "formula": "BaNbMo3",
  "functional": "meta-GGA SCAN",
  "state": "PBEsol geometry",
  "lattice": [[-1.2728, 0.6783, -4.6821], [-1.7509, -4.5719, -0.1863], [-4.3951, 1.6249, 1.4302]],
  "species": ["Mo", "Mo", "Mo", "Ba", "Nb"],
  "frac_coords": [[0.0000, 0.5000, 0.0000], [0.0000, 0.0000, 0.5000], [0.5000, 0.0000, 0.0000], [0.5000, 0.5000, 0.5000], [0.0000, 0.0000, 0.0000]],
  "magmom_total_mub_per_fu": 3.8,
  "volume_a3_per_atom": 23.5,
  "ef_ev_per_atom": 1.577,
  "final_energy_ev_per_atom": -33.89
}